Record 1
Here is a relaxed structure of MnNi2Te from Alexandria via LeMat-Bulk. Energies are from PBE.

The structure belongs to space group F-43m (No. 216); the cell edges are 6.080, 6.080 and 6.080 Å and the angles 90.00°, 90.00° and 90.00°. The distinct sites, in fractional coordinates, are Mn at (0.000, 0.000, 0.000), Ni at (0.000, 0.000, 0.500), Ni at (0.250, 0.250, 0.750) and Te at (0.250, 0.250, 0.250).

As for the crystal system: cubic. As for the density of states at the Fermi level: 0.67 states/eV/atom. For the formation energy without anion corrections, the calculation gives 0.149 eV/atom. As for the theoretical density: 8862 kg/m³.

=====

Record 2
Here is a relaxed structure of Ta2CuOs from Alexandria via LeMat-Bulk. Energies are from PBE.

The structure belongs to space group Cmmm (No. 65); the cell edges are 5.690, 7.282 and 3.048 Å and the angles 90.00°, 90.00° and 90.00°. The distinct sites, in fractional coordinates, are Ta at (0.250, 0.250, 0.000), Cu at (0.000, 0.000, 0.500) and Os at (0.000, 0.500, 0.500).

The formation energy comes out at -0.39 eV per formula unit. As for the crystal system: orthorhombic. As for the density of states at the Fermi level: 0.64 states/eV/atom. As for the theoretical density: 16193 kg/m³.

=====

Record 3
Here is a relaxed structure of CuHgSe2 from Alexandria via LeMat-Bulk. Energies are from PBE.

The structure belongs to space group Pnma (No. 62); the cell edges are 6.878, 4.000 and 12.945 Å and the angles 90.00°, 90.00° and 90.00°. The distinct sites, in fractional coordinates, are Cu at (0.089, 0.250, 0.124), Hg at (0.109, 0.750, 0.388), Se at (0.095, 0.750, 0.709) and Se at (0.182, 0.750, 0.997).

As for the crystal system: orthorhombic. As for the density of states at the Fermi level: 0.68 states/eV/atom. For the formation energy without anion corrections, the calculation gives -0.018 eV/atom. As for the theoretical density: 7872 kg/m³.

=====

Record 4
Here is a relaxed structure of PrSm4Bi5 from Alexandria via LeMat-Bulk. Energies are from PBE.

The structure belongs to space group Immm (No. 71); the cell edges are 4.578, 6.466 and 22.863 Å and the angles 90.00°, 90.00° and 90.00°. The distinct sites, in fractional coordinates, are Pr at (0.000, 0.000, 0.000), Sm at (0.000, 0.000, 0.201), Sm at (0.000, 0.000, 0.400), Bi at (0.000, 0.500, 0.000), Bi at (0.000, 0.500, 0.200) and Bi at (0.000, 0.500, 0.398).

The formation energy comes out at -9.32 eV per formula unit. As for the crystal system: orthorhombic. As for the density of states at the Fermi level: 0.20 states/eV/atom. As for the theoretical density: 8770 kg/m³.

=====

Record 5
Here is a relaxed structure of NbV3W from Alexandria via LeMat-Bulk. Energies are from PBE.

The structure belongs to space group C2/c (No. 15); the cell edges are 12.343, 9.879 and 5.147 Å and the angles 90.00°, 100.64° and 90.00°. The distinct sites, in fractional coordinates, are Nb at (0.084, 0.092, 0.031), V at (0.145, 0.192, 0.552), V at (0.188, 0.317, 0.103), V at (0.205, 0.440, 0.628), W at (0.000, 0.344, 0.750) and W at (0.000, 0.377, 0.250).

The formation energy comes out at 0.92 eV per formula unit. As for the crystal system: monoclinic. As for the density of states at the Fermi level: 1.11 states/eV/atom. As for the theoretical density: 9251 kg/m³. As for the energy relative to the lowest polymorph listed for this composition: 0.922 eV/f.u.

=====

Record 6
Here is a relaxed structure of ErTm3Pb from Alexandria via LeMat-Bulk. Energies are from PBE.

The structure belongs to space group P2_1/c (No. 14); the cell edges are 8.915, 8.416 and 9.349 Å and the angles 90.00°, 121.43° and 90.00°. The distinct sites, in fractional coordinates, are Er at (0.208, 0.063, 0.287), Tm at (0.074, 0.692, 0.037), Tm at (0.212, 0.063, 0.925), Tm at (0.410, 0.083, 0.704) and Pb at (0.404, 0.750, 0.453).

The formation energy comes out at -0.65 eV per formula unit. As for the crystal system: monoclinic. As for the density of states at the Fermi level: 1.16 states/eV/atom. As for the theoretical density: 9780 kg/m³. As for the energy relative to the lowest polymorph listed for this composition: 0.208 eV/f.u.

=====

Record 7
Here is a relaxed structure of PmSm2Ge3 from Alexandria via LeMat-Bulk. Energies are from PBE.

The structure belongs to space group Immm (No. 71); the cell edges are 4.264, 6.002 and 12.695 Å and the angles 90.00°, 90.00° and 90.00°. The distinct sites, in fractional coordinates, are Pm at (0.000, 0.000, 0.000), Sm at (0.000, 0.000, 0.334), Ge at (0.000, 0.500, 0.000) and Ge at (0.000, 0.500, 0.333).

The formation energy comes out at -3.98 eV per formula unit. As for the crystal system: orthorhombic. As for the density of states at the Fermi level: 0.82 states/eV/atom. As for the theoretical density: 6784 kg/m³.

=====

Record 8
Here is a relaxed structure of TiNiAu3 from Alexandria via LeMat-Bulk. Energies are from PBE.

The structure belongs to space group Pm-3m (No. 221); the cell edges are 4.936, 4.936 and 4.936 Å and the angles 90.00°, 90.00° and 90.00°. The distinct sites, in fractional coordinates, are Ti at (0.000, 0.000, 0.000), Ni at (0.500, 0.500, 0.500) and Au at (0.000, 0.000, 0.500).

The formation energy comes out at 5.30 eV per formula unit. As for the crystal system: cubic. As for the density of states at the Fermi level: 1.17 states/eV/atom. As for the theoretical density: 9630 kg/m³. As for the energy relative to the lowest polymorph listed for this composition: 1.830 eV/f.u.

=====

Record 9
Here is a relaxed structure of HIrS3 from Alexandria via LeMat-Bulk. Energies are from PBE.

The structure belongs to space group Pm-3m (No. 221); the cell edges are 3.957, 3.957 and 3.957 Å and the angles 90.00°, 90.00° and 90.00°. The distinct sites, in fractional coordinates, are H at (0.000, 0.000, 0.000), Ir at (0.500, 0.500, 0.500) and S at (0.000, 0.000, 0.500).

As for the crystal system: cubic. As for the density of states at the Fermi level: 0.59 states/eV/atom. As for the theoretical density: 7759 kg/m³. As for the energy relative to the lowest polymorph listed for this composition: 0.715 eV/f.u.

=====

Record 10
Here is a relaxed structure of CaGd2O4 from Alexandria via LeMat-Bulk. Energies are from PBE.

The structure belongs to space group Fd-3m (No. 227, origin choice 2); the cell edges are 9.794, 9.794 and 9.794 Å and the angles 90.00°, 90.00° and 90.00°. The distinct sites, in fractional coordinates, are Ca at (0.125, 0.125, 0.125), Gd at (0.000, 0.000, 0.500) and O at (0.012, 0.012, 0.738).

As for the crystal system: cubic. As for the density of states at the Fermi level: 0.00 states/eV/atom. For the formation energy without anion corrections, the calculation gives -3.271 eV/atom. As for the theoretical density: 5918 kg/m³. As for the energy relative to the lowest polymorph listed for this composition: 0.000 eV/f.u.

=====

Record 11
Here is a relaxed structure of Sc7Sn from Alexandria via LeMat-Bulk. Energies are from PBE.

The structure belongs to space group Fm-3m (No. 225); the cell edges are 9.124, 9.124 and 9.124 Å and the angles 90.00°, 90.00° and 90.00°. The distinct sites, in fractional coordinates, are Sc at (0.000, 0.000, 0.000), Sc at (0.000, 0.250, 0.250) and Sn at (0.000, 0.000, 0.500).

The formation energy comes out at -1.32 eV per formula unit. As for the crystal system: cubic. As for the density of states at the Fermi level: 1.28 states/eV/atom. As for the theoretical density: 3791 kg/m³.

=====

Number 1: uncorrected energy -5.82 eV per atom. Number 2: uncorrected energy -9.86 eV per atom. Number 3: uncorrected energy -2.86 eV per atom. Number 4: uncorrected energy -5.24 eV per atom. Number 5: uncorrected energy -9.89 eV per atom. Number 6: uncorrected energy -4.47 eV per atom. Number 7: uncorrected energy -5.34 eV per atom. Number 8: uncorrected energy -3.64 eV per atom. Number 9: uncorrected energy -3.71 eV per atom. Number 10: uncorrected energy -10.41 eV per atom. Number 11: uncorrected energy -6.21 eV per atom.